# K2Rb12Na

An optimized crystal structure of K2Rb12Na (PBE-GGA, Alexandria via LeMat-Bulk). Values from VASP.

The structure in Quantum ESPRESSO input format:
```
&SYSTEM
  ibrav = 0, nat = 30, ntyp = 3
/
ATOMIC_SPECIES
K 39.10 K.upf
Rb 85.47 Rb.upf
Na 22.99 Na.upf
ATOMIC_POSITIONS angstrom
K 2.2973 6.8920 7.7243
K 2.2973 6.8920 25.1635
K 6.8920 2.2973 7.7243
K 6.8920 2.2973 25.1635
Rb 9.1869 0.0024 13.8299
Rb 0.0024 9.1869 19.0579
Rb 0.0024 4.5970 13.8299
Rb 9.1869 4.5923 19.0579
Rb 0.6722 5.2669 2.1830
Rb 0.6722 8.5170 30.7048
Rb 2.2973 2.2973 5.6740
Rb 2.2973 2.2973 10.1305
Rb 2.2973 2.2973 22.7573
Rb 2.2973 2.2973 27.2138
Rb 3.9224 5.2669 30.7048
Rb 3.9224 8.5170 2.1830
Rb 4.5923 9.1869 13.8299
Rb 4.5970 0.0024 19.0579
Rb 4.5970 4.5923 13.8299
Rb 4.5923 4.5970 19.0579
Rb 5.2669 0.6722 30.7048
Rb 5.2669 3.9224 2.1830
Rb 6.8920 6.8920 5.6740
Rb 6.8920 6.8920 10.1305
Rb 6.8920 6.8920 22.7573
Rb 6.8920 6.8920 27.2138
Rb 8.5170 0.6722 2.1830
Rb 8.5170 3.9224 30.7048
Na 2.2973 6.8920 16.4439
Na 6.8920 2.2973 16.4439
CELL_PARAMETERS angstrom
9.1893 0.0000 0.0000
0.0000 9.1893 0.0000
0.0000 0.0000 32.8878
```

Computed properties:
E_tot: -28.0 eV for the cell shown
Calculated formation energy: 0.0757 eV/atom
Space group: No. 125